A plane-wave DFT calculation with GGA-PBE was carried out for crystalline ErCo2Sn3 at its relaxed geometry.

Structure (POSCAR):
```
ErCo2Sn3
1.0
6.5404 0.0000 0.0000
-3.2702 5.6642 0.0000
0.0000 0.0000 6.5570
Er Co Sn
2 4 6
direct
0.3333 0.6667 0.1880
0.6667 0.3333 0.8120
0.0000 0.0000 0.5000
0.0000 0.5000 0.5000
0.5000 0.0000 0.5000
0.5000 0.5000 0.5000
0.1687 0.3374 0.7753
0.1687 0.8313 0.7753
0.3374 0.1687 0.2247
0.6626 0.8313 0.7753
0.8313 0.1687 0.2247
0.8313 0.6626 0.2247
```

Values from the calculation:
calculated formation energy	-0.39	eV per formula unit
total magnetic moment	2.08	μB/cell


A plane-wave DFT calculation with GGA-PBE was carried out for crystalline Er2CoSn at its relaxed geometry.

Structure (POSCAR):
```
Er2CoSn
1.0
3.3670 0.0000 0.0000
0.0000 3.3670 0.0000
0.0000 0.0000 7.7847
Er Co Sn
2 1 1
direct
0.0000 0.0000 0.2061
0.0000 0.0000 0.7939
0.5000 0.5000 0.0000
0.5000 0.5000 0.5000
```

Values from the calculation:
calculated formation energy	-1.67	eV per formula unit
total magnetic moment	0.06	μB/cell
offset from the most stable computed form	0.0	kJ per mole of atoms


A plane-wave DFT calculation with GGA-PBE was carried out for crystalline ErCoSn2 at its relaxed geometry.

Structure (POSCAR):
```
ErCoSn2
1.0
2.1141 -5.3429 0.0000
2.1141 5.3429 0.0000
0.0000 0.0000 7.2788
Er Co Sn
2 2 4
direct
0.0663 0.9337 0.7500
0.9337 0.0663 0.2500
0.2054 0.7946 0.2500
0.7946 0.2054 0.7500
0.3565 0.6435 0.5446
0.3565 0.6435 0.9554
0.6435 0.3565 0.0446
0.6435 0.3565 0.4554
```

Values from the calculation:
calculated formation energy	-1.72	eV per formula unit
total magnetic moment	0.00	μB/cell


A plane-wave DFT calculation with GGA-PBE was carried out for crystalline ErCo6Sn6 at its relaxed geometry.

Structure (POSCAR):
```
ErCo6Sn6
1.0
-2.6893 4.2835 4.6473
2.6893 -4.2835 4.6473
2.6893 4.2835 -4.6473
Er Co Sn
1 6 6
direct
0.0000 0.0000 0.0000
0.0000 0.0000 0.5000
0.0000 0.5000 0.0000
0.2483 0.5000 0.7483
0.5000 0.0000 0.0000
0.5000 0.5000 0.5000
0.7517 0.5000 0.2517
0.1688 0.6688 0.5000
0.3343 0.0000 0.3343
0.3361 0.3361 0.0000
0.6639 0.6639 0.0000
0.6657 0.0000 0.6657
0.8312 0.3312 0.5000
```

Values from the calculation:
calculated formation energy	-2.06	eV per formula unit
total magnetic moment	0.00	μB/cell


What did the third record say?
A plane-wave DFT calculation with GGA-PBE was carried out for crystalline ErCoSn2 at its relaxed geometry.

Structure (POSCAR):
```
ErCoSn2
1.0
2.1141 -5.3429 0.0000
2.1141 5.3429 0.0000
0.0000 0.0000 7.2788
Er Co Sn
2 2 4
direct
0.0663 0.9337 0.7500
0.9337 0.0663 0.2500
0.2054 0.7946 0.2500
0.7946 0.2054 0.7500
0.3565 0.6435 0.5446
0.3565 0.6435 0.9554
0.6435 0.3565 0.0446
0.6435 0.3565 0.4554
```

Values from the calculation:
calculated formation energy	-1.72	eV per formula unit
total magnetic moment	0.00	μB/cell


Number 1 is which compound? ErCo2Sn3


Which value of calculated formation energy does entry 1 give? -0.39 eV per formula unit